# 1
Here is a relaxed KRbTl2 crystal from the Alexandria database. Energies are from GGA-PBE.

Unit cell a=5.8778 b=5.8778 c=4.7964 alpha=90.00 beta=90.00 gamma=90.00
Space group P4/mmm (No. 123)
Inequivalent atoms, fractional coordinates:
K 0.0000 0.0000 0.0000 x1
Rb 0.5000 0.5000 0.0000 x1
Tl 0.0000 0.5000 0.5000 x2

volume	165.7	Å³ per cell
distance to the lowest polymorph of the same formula	2.41	kcal/mol of atoms
total magnetization	0.00	μB/atom
N(E_F)	1.01	states/eV/atom
formation energy	0.04	eV/atom

---

# 2
Here is a relaxed K3RbTl crystal from the Alexandria database. Energies are from GGA-PBE.

Unit cell a=15.4427 b=16.8609 c=9.3888 alpha=90.00 beta=96.12 gamma=90.00
Space group C2/c (No. 15)
Inequivalent atoms, fractional coordinates:
K 0.1151 0.2225 0.0893 x8
K 0.1629 0.1959 0.5995 x8
K 0.2095 0.4817 0.0901 x8
Rb 0.0000 0.0003 0.2500 x4
Rb 0.0000 0.4061 0.7500 x4
Tl 0.0792 0.3708 0.3617 x8

volume	2430.7	Å³ per cell
distance to the lowest polymorph of the same formula	0.00	kcal/mol of atoms
total magnetization	0.00	μB/atom
N(E_F)	0.67	states/eV/atom
formation energy	-0.02	eV/atom

---

# 3
Here is a relaxed KRb3Tl crystal from the Alexandria database. Energies are from GGA-PBE.

Unit cell a=7.2794 b=7.2794 c=7.2794 alpha=90.00 beta=90.00 gamma=90.00
Space group Pm-3m (No. 221)
Inequivalent atoms, fractional coordinates:
K 0.0000 0.0000 0.0000 x1
Rb 0.0000 0.5000 0.5000 x3
Tl 0.5000 0.5000 0.5000 x1

volume	385.7	Å³ per cell
distance to the lowest polymorph of the same formula	2.06	kcal/mol of atoms
total magnetization	0.00	μB/atom
N(E_F)	1.16	states/eV/atom
formation energy	0.07	eV/atom

---

# 4
Here is a relaxed KRbTl17 crystal from the Alexandria database. Energies are from GGA-PBE.

Unit cell a=11.3633 b=11.3633 c=17.1447 alpha=90.00 beta=90.00 gamma=120.00
Space group R3m (No. 160, hexagonal axes)
Inequivalent atoms, fractional coordinates:
K 0.0000 0.0000 0.0000 x3
Rb 0.0000 0.0000 0.3291 x3
Tl 0.0000 0.0000 0.5708 x3
Tl 0.0000 0.0000 0.7664 x3
Tl 0.0017 0.2943 0.6680 x18
Tl 0.0110 0.5055 0.5259 x9
Tl 0.0139 0.5070 0.1655 x9
Tl 0.0237 0.5119 0.8117 x9

volume	1917.2	Å³ per cell
total magnetization	0.00	μB/atom
N(E_F)	0.45	states/eV/atom
formation energy	-0.02	eV/atom

---

# 5
Here is a relaxed K3RbTl8 crystal from the Alexandria database. Energies are from GGA-PBE.

Unit cell a=6.7749 b=6.7749 c=32.7300 alpha=90.00 beta=90.00 gamma=120.00
Space group R3m (No. 160, hexagonal axes)
Inequivalent atoms, fractional coordinates:
K 0.0000 0.0000 0.0000 x3
K 0.0000 0.0000 0.1241 x3
K 0.0000 0.0000 0.6250 x3
Rb 0.0000 0.0000 0.5000 x3
Tl 0.0000 0.0000 0.3124 x3
Tl 0.0000 0.0000 0.8121 x3
Tl 0.0004 0.5002 0.5631 x9
Tl 0.1672 0.3343 0.3949 x9

volume	1301.0	Å³ per cell
distance to the lowest polymorph of the same formula	0.63	kcal/mol of atoms
total magnetization	0.00	μB/atom
N(E_F)	0.71	states/eV/atom
formation energy	-0.09	eV/atom

---

# 6
Here is a relaxed K6Rb5Tl crystal from the Alexandria database. Energies are from GGA-PBE.

Unit cell a=13.2314 b=21.6693 c=7.2026 alpha=90.00 beta=122.87 gamma=90.00
Space group C2/m (No. 12)
Inequivalent atoms, fractional coordinates:
K 0.1827 0.0000 0.1833 x4
K 0.2051 0.1370 0.7052 x8
Rb 0.0000 0.2007 0.0000 x4
Rb 0.0000 0.3447 0.5000 x4
Rb 0.0000 0.5000 0.0000 x2
Tl 0.0000 0.0000 0.5000 x2

volume	1734.5	Å³ per cell
total magnetization	0.00	μB/atom
N(E_F)	0.86	states/eV/atom
formation energy	0.01	eV/atom

---

# 7
Here is a relaxed K3RbTl2 crystal from the Alexandria database. Energies are from GGA-PBE.

Unit cell a=20.6819 b=5.3488 c=14.6577 alpha=90.00 beta=124.19 gamma=90.00
Space group C2/m (No. 12)
Inequivalent atoms, fractional coordinates:
K 0.0796 0.0000 0.4287 x4
K 0.0821 0.0000 0.9428 x4
K 0.1582 0.5000 0.2377 x4
Rb 0.1518 0.5000 0.7288 x4
Tl 0.2322 0.5000 0.0356 x4
Tl 0.2321 0.5000 0.5349 x4

volume	1341.3	Å³ per cell
total magnetization	0.00	μB/atom
N(E_F)	0.59	states/eV/atom
formation energy	-0.05	eV/atom

---

# 8
Here is a relaxed K3RbTl crystal from the Alexandria database. Energies are from GGA-PBE.

Unit cell a=24.2532 b=13.8328 c=7.5900 alpha=90.00 beta=95.72 gamma=90.00
Space group C2/c (No. 15)
Inequivalent atoms, fractional coordinates:
K 0.1540 0.0925 0.1698 x8
K 0.1723 0.4318 0.1551 x8
K 0.1782 0.2471 0.6734 x8
Rb 0.0000 0.1266 0.7500 x4
Rb 0.0000 0.3426 0.2500 x4
Tl 0.0631 0.3941 0.7843 x8

volume	2533.7	Å³ per cell
distance to the lowest polymorph of the same formula	0.65	kcal/mol of atoms
total magnetization	0.00	μB/atom
N(E_F)	0.75	states/eV/atom
formation energy	0.01	eV/atom

---

# 9
Here is a relaxed K3Rb7Tl crystal from the Alexandria database. Energies are from GGA-PBE.

Unit cell a=15.3972 b=11.9162 c=10.9496 alpha=90.00 beta=115.95 gamma=90.00
Space group Cm (No. 8)
Inequivalent atoms, fractional coordinates:
K 0.0000 0.0000 0.0000 x2
K 0.4703 0.1893 0.7542 x4
Rb 0.0218 0.1966 0.4034 x4
Rb 0.1713 0.5000 0.1693 x2
Rb 0.2115 0.5000 0.6249 x2
Rb 0.2766 0.0000 0.3793 x2
Rb 0.2904 0.1858 0.9833 x4
Tl 0.4741 0.0000 0.2814 x2

volume	1806.4	Å³ per cell
total magnetization	0.00	μB/atom
N(E_F)	0.73	states/eV/atom
formation energy	0.05	eV/atom

---

# 10
Here is a relaxed K12Rb16Tl crystal from the Alexandria database. Energies are from GGA-PBE.

Unit cell a=16.8247 b=23.1329 c=14.4307 alpha=90.00 beta=124.00 gamma=90.00
Space group Cm (No. 8)
Inequivalent atoms, fractional coordinates:
K 0.0000 0.0000 0.0000 x2
K 0.0447 0.4058 0.4674 x4
K 0.1556 0.2922 0.0056 x4
K 0.3172 0.5000 0.6167 x2
K 0.3972 0.0954 0.8638 x4
K 0.4136 0.4092 0.2155 x4
K 0.4550 0.1893 0.6461 x4
Rb 0.0911 0.1042 0.7707 x4
Rb 0.1267 0.2028 0.5190 x4
Rb 0.1445 0.5000 0.8311 x2
Rb 0.1534 0.5000 0.2014 x2
Rb 0.2055 0.0000 0.5108 x2
Rb 0.2083 0.1436 0.2459 x4
Rb 0.3032 0.3433 0.4166 x4
Rb 0.3328 0.0000 0.1154 x2
Rb 0.3364 0.3230 0.8316 x4
Rb 0.4520 0.2039 0.1566 x4
Tl 0.4474 0.5000 0.4681 x2

volume	4656.2	Å³ per cell
total magnetization	0.00	μB/atom
N(E_F)	0.81	states/eV/atom
formation energy	0.02	eV/atom

---

# 11
Here is a relaxed K5Rb2Tl crystal from the Alexandria database. Energies are from GGA-PBE.

Unit cell a=8.5190 b=8.5190 c=17.1567 alpha=90.00 beta=90.00 gamma=90.00
Space group I4mm (No. 107)
Inequivalent atoms, fractional coordinates:
K 0.0000 0.0000 0.0000 x2
K 0.2439 0.2439 0.3220 x8
Rb 0.0000 0.5000 0.1047 x4
Tl 0.0000 0.0000 0.1983 x2

volume	1245.1	Å³ per cell
total magnetization	0.00	μB/atom
N(E_F)	0.60	states/eV/atom
formation energy	0.05	eV/atom

---

# 12
Here is a relaxed K2Rb2Tl crystal from the Alexandria database. Energies are from GGA-PBE.

Unit cell a=9.8341 b=15.1829 c=9.9752 alpha=90.00 beta=117.82 gamma=90.00
Space group C2/m (No. 12)
Inequivalent atoms, fractional coordinates:
K 0.2242 0.0000 0.3917 x4
K 0.2435 0.5000 0.1372 x4
Rb 0.0589 0.2826 0.7620 x8
Tl 0.0000 0.1020 0.0000 x4

volume	1317.3	Å³ per cell
distance to the lowest polymorph of the same formula	0.00	kcal/mol of atoms
total magnetization	0.00	μB/atom
N(E_F)	0.90	states/eV/atom
formation energy	-0.02	eV/atom

---

# 13
Here is a relaxed K4Rb2Tl crystal from the Alexandria database. Energies are from GGA-PBE.

Unit cell a=6.8942 b=6.8942 c=22.1389 alpha=90.00 beta=90.00 gamma=90.00
Space group I4/mmm (No. 139)
Inequivalent atoms, fractional coordinates:
K 0.0000 0.0000 0.1619 x4
K 0.0000 0.5000 0.0000 x4
Rb 0.0000 0.0000 0.3642 x4
Tl 0.0000 0.0000 0.0000 x2

volume	1052.3	Å³ per cell
distance to the lowest polymorph of the same formula	1.04	kcal/mol of atoms
total magnetization	0.00	μB/atom
N(E_F)	0.90	states/eV/atom
formation energy	0.05	eV/atom

---

# 14
Here is a relaxed KRbTl2 crystal from the Alexandria database. Energies are from GGA-PBE.

Unit cell a=8.7300 b=8.7300 c=8.7300 alpha=90.00 beta=90.00 gamma=90.00
Space group Fm-3m (No. 225)
Inequivalent atoms, fractional coordinates:
K 0.0000 0.0000 0.0000 x4
Rb 0.0000 0.0000 0.5000 x4
Tl 0.2500 0.2500 0.2500 x8

volume	665.3	Å³ per cell
distance to the lowest polymorph of the same formula	2.34	kcal/mol of atoms
total magnetization	0.00	μB/atom
N(E_F)	0.90	states/eV/atom
formation energy	0.04	eV/atom

---

# 15
Here is a relaxed KRb2Tl crystal from the Alexandria database. Energies are from GGA-PBE.

Unit cell a=11.1248 b=11.1248 c=8.0694 alpha=90.00 beta=90.00 gamma=90.00
Space group I-42d (No. 122)
Inequivalent atoms, fractional coordinates:
K 0.0000 0.0000 0.0000 x4
Rb 0.2031 0.2500 0.6250 x8
Tl 0.0000 0.0000 0.5000 x4

volume	998.7	Å³ per cell
distance to the lowest polymorph of the same formula	2.70	kcal/mol of atoms
total magnetization	0.00	μB/atom
N(E_F)	0.09	states/eV/atom
formation energy	0.08	eV/atom

---

# 16
Here is a relaxed K12Rb7Tl crystal from the Alexandria database. Energies are from GGA-PBE.

Unit cell a=25.4500 b=25.4500 c=8.3272 alpha=90.00 beta=90.00 gamma=120.00
Space group R-3m (No. 166, hexagonal axes)
Inequivalent atoms, fractional coordinates:
K 0.0000 0.4080 0.0000 x18
K 0.0943 0.5471 0.4896 x18
Rb 0.0000 0.0000 0.0000 x3
Rb 0.0784 0.1568 0.3171 x18
Tl 0.0000 0.0000 0.5000 x3

volume	4670.9	Å³ per cell
total magnetization	0.00	μB/atom
N(E_F)	0.88	states/eV/atom
formation energy	0.05	eV/atom

---

# 17
Here is a relaxed KRbTl2 crystal from the Alexandria database. Energies are from GGA-PBE.

Unit cell a=5.5656 b=14.6328 c=9.2081 alpha=90.00 beta=90.00 gamma=90.00
Space group Cmcm (No. 63)
Inequivalent atoms, fractional coordinates:
K 0.0000 0.1152 0.2500 x4
Rb 0.0000 0.4093 0.2500 x4
Tl 0.0000 0.2497 0.5826 x8

volume	749.9	Å³ per cell
distance to the lowest polymorph of the same formula	0.00	kcal/mol of atoms
total magnetization	0.00	μB/atom
N(E_F)	0.41	states/eV/atom
formation energy	-0.06	eV/atom

---

# 18
Here is a relaxed K4RbTl4 crystal from the Alexandria database. Energies are from GGA-PBE.

Unit cell a=11.2999 b=11.2999 c=7.2737 alpha=90.00 beta=90.00 gamma=90.00
Space group P4_2/n (No. 86, origin choice 2)
Inequivalent atoms, fractional coordinates:
K 0.0711 0.6592 0.1092 x8
Rb 0.2500 0.2500 0.2500 x2
Tl 0.0240 0.6102 0.6036 x8

volume	928.8	Å³ per cell
distance to the lowest polymorph of the same formula	1.61	kcal/mol of atoms
total magnetization	0.00	μB/atom
N(E_F)	0.67	states/eV/atom
formation energy	0.04	eV/atom

---

# 19
Here is a relaxed K2RbTlZn crystal from the Alexandria database. Energies are from GGA-PBE.

Unit cell a=6.9314 b=6.9314 c=5.4976 alpha=90.00 beta=90.00 gamma=90.00
Space group P4/mmm (No. 123)
Inequivalent atoms, fractional coordinates:
K 0.0000 0.5000 0.0000 x2
Rb 0.0000 0.0000 0.5000 x1
Tl 0.5000 0.5000 0.0000 x1
Zn 0.5000 0.5000 0.5000 x1

volume	264.1	Å³ per cell
distance to the lowest polymorph of the same formula	0.87	kcal/mol of atoms
total magnetization	0.00	μB/atom
N(E_F)	0.50	states/eV/atom
formation energy	0.10	eV/atom

---

# 20
Here is a relaxed K2RbTlZn crystal from the Alexandria database. Energies are from GGA-PBE.

Unit cell a=6.7327 b=6.7327 c=5.5006 alpha=90.00 beta=90.00 gamma=90.00
Space group P4/mmm (No. 123)
Inequivalent atoms, fractional coordinates:
K 0.0000 0.5000 0.0000 x2
Rb 0.0000 0.0000 0.5000 x1
Tl 0.5000 0.5000 0.5000 x1
Zn 0.5000 0.5000 0.0000 x1

volume	249.3	Å³ per cell
distance to the lowest polymorph of the same formula	0.00	kcal/mol of atoms
total magnetization	0.00	μB/atom
N(E_F)	0.53	states/eV/atom
formation energy	0.06	eV/atom